(1)
## SbPt4 (PBE-GGA)

Data for a relaxed structure of SbPt4.

Cell lengths 4.8761, 4.8761, 4.8761 Å; angles 90.00, 90.00, 90.00 degrees
Last column: nearest neighbours and their distance in Å.
Fractional coordinates of all 5 atoms:
Sb1 0.0000 0.0000 0.0000  6 Pt 2.44
Pt1 0.0000 0.0000 0.5000  2 Sb 2.44
Pt2 0.0000 0.5000 0.0000  2 Sb 2.44
Pt3 0.5000 0.0000 0.0000  2 Sb 2.44
Pt4 0.5000 0.5000 0.5000  12 Pt 3.45

Results
Total magnetization (μB per atom): 0.000
Total energy (Ry/atom): -0.331
Excess energy over the best structure of this formula in the dataset (meV per atom): 1267

(2)
## SbPt2 (PBE-GGA)

Data for a relaxed structure of SbPt2.

Cell lengths 5.9279, 5.9279, 5.5873 Å; angles 108.99, 108.99, 37.69 degrees
Last column: nearest neighbours and their distance in Å.
Fractional coordinates of all 6 atoms:
Sb1 0.1823 0.1823 0.1763  5 Pt 2.67-2.75
Sb2 0.8177 0.8177 0.8237  5 Pt 2.67-2.75
Pt1 0.1309 0.1309 0.6733  3 Sb 2.67-2.75, 5 Pt 2.78-2.91
Pt2 0.4636 0.4636 0.7324  2 Sb 2.68, 6 Pt 2.78-2.98
Pt3 0.5364 0.5364 0.2676  2 Sb 2.68, 6 Pt 2.78-2.98
Pt4 0.8691 0.8691 0.3267  3 Sb 2.67-2.75, 5 Pt 2.78-2.91

Results
Total magnetization (μB per atom): 0.000
Total energy (Ry/atom): -0.418

(3)
## SbPt (PBE-GGA)

Data for a relaxed structure of SbPt.

Cell lengths 5.9034, 5.9034, 5.9034 Å; angles 149.08, 129.59, 60.32 degrees
Last column: nearest neighbours and their distance in Å.
Fractional coordinates of all 4 atoms:
Sb1 0.3519 0.1019 0.2500  6 Pt 2.86-2.98, 2 Sb 3.15
Sb2 0.6481 0.8981 0.7500  6 Pt 2.86-2.98, 2 Sb 3.15
Pt1 0.1182 0.3682 0.7500  6 Sb 2.86-2.98, 4 Pt 2.88-3.15
Pt2 0.8818 0.6318 0.2500  6 Sb 2.86-2.98, 4 Pt 2.88-3.15

Results
Total magnetization (μB per atom): 0.000
Total energy (Ry/atom): -0.379

(4)
## SbPt2 (PBE-GGA)

Data for a relaxed structure of SbPt2.

Cell lengths 4.3979, 4.3979, 4.3979 Å; angles 60.00, 60.00, 60.00 degrees
Last column: nearest neighbours and their distance in Å.
Fractional coordinates of all 3 atoms:
Sb1 0.0000 0.0000 0.0000  8 Pt 2.69
Pt1 0.2500 0.2500 0.2500  4 Sb 2.69
Pt2 0.7500 0.7500 0.7500  4 Sb 2.69

Results
Total magnetization (μB per atom): 0.000
Total energy (Ry/atom): -0.410

(5)
## SbPt3 (PBE-GGA)

Data for a relaxed structure of SbPt3.

Cell lengths 4.6034, 4.6034, 4.6034 Å; angles 60.00, 60.00, 60.00 degrees
Last column: nearest neighbours and their distance in Å.
Fractional coordinates of all 4 atoms:
Sb1 0.0000 0.0000 0.0000  8 Pt 2.82
Pt1 0.2500 0.2500 0.2500  4 Pt 2.82, 4 Sb 2.82
Pt2 0.5000 0.5000 0.5000  8 Pt 2.82
Pt3 0.7500 0.7500 0.7500  4 Sb 2.82, 4 Pt 2.82

Results
Total magnetization (μB per atom): 0.000
Total energy (Ry/atom): -0.417

(6)
## SbPt4 (PBE-GGA)

Data for a relaxed structure of SbPt4.

Cell lengths 4.9228, 4.9228, 4.9228 Å; angles 100.99, 100.99, 128.21 degrees
Last column: nearest neighbours and their distance in Å.
Fractional coordinates of all 5 atoms:
Sb1 0.0000 0.0000 0.0000  12 Pt 2.74-2.97
Pt1 0.1920 0.3927 0.5847  3 Sb 2.74-2.97, 9 Pt 2.76-2.90
Pt2 0.3927 0.8080 0.2006  3 Sb 2.74-2.97, 9 Pt 2.76-2.90
Pt3 0.6073 0.1920 0.7994  3 Sb 2.74-2.97, 9 Pt 2.76-2.90
Pt4 0.8080 0.6073 0.4153  3 Sb 2.74-2.97, 9 Pt 2.76-2.90

Results
Total magnetization (μB per atom): 0.000
Total energy (Ry/atom): -0.424
Excess energy over the best structure of this formula in the dataset (meV per atom): 6

(7)
## SbPt3 (PBE-GGA)

Data for a relaxed structure of SbPt3.

Cell lengths 3.5282, 3.5282, 5.6337 Å; angles 90.00, 90.00, 90.00 degrees
Last column: nearest neighbours and their distance in Å.
Fractional coordinates of all 4 atoms:
Sb1 0.0000 0.0000 0.0000  10 Pt 2.82-2.89
Pt1 0.0000 0.0000 0.5000  2 Sb 2.82, 8 Pt 2.84
Pt2 0.5000 0.5000 0.2573  6 Pt 2.73-2.90, 4 Sb 2.89
Pt3 0.5000 0.5000 0.7427  6 Pt 2.73-2.90, 4 Sb 2.89

Results
Total magnetization (μB per atom): 0.000
Total energy (Ry/atom): -0.415

(8)
## Sb2Pt (PBE-GGA)

Data for a relaxed structure of Sb2Pt.

Cell lengths 13.2442, 13.2442, 13.2442 Å; angles 166.56, 163.95, 21.00 degrees
Last column: nearest neighbours and their distance in Å.
Fractional coordinates of all 6 atoms:
Sb1 0.3091 0.0591 0.2500  4 Pt 2.90, 3 Sb 3.10-3.25
Sb2 0.4337 0.1837 0.2500  4 Pt 2.92, 3 Sb 3.10-3.25
Sb3 0.5663 0.8163 0.7500  4 Pt 2.92, 3 Sb 3.10-3.25
Sb4 0.6909 0.9409 0.7500  4 Pt 2.90, 3 Sb 3.10-3.25
Pt1 0.1293 0.3793 0.7500  8 Sb 2.90-2.92, 2 Pt 3.10
Pt2 0.8707 0.6207 0.2500  8 Sb 2.90-2.92, 2 Pt 3.10

Results
Total magnetization (μB per atom): 0.000
Total energy (Ry/atom): -0.358

Number 1: theoretical density 12.92 g/cm³. Number 2: theoretical density 15.08 g/cm³. Number 3: theoretical density 13.03 g/cm³. Number 4: theoretical density 14.13 g/cm³. Number 5: theoretical density 17.02 g/cm³. Number 6: theoretical density 17.76 g/cm³. Number 7: theoretical density 16.74 g/cm³. Number 8: theoretical density 9.75 g/cm³.